Record 1
An optimized crystal structure of BaLaMg2Ir, computed with PBE-GGA.

The structure in extended XYZ format:
```
5
Lattice="5.3637 0.0000 0.0000 0.0000 5.3637 0.0000 0.0000 0.0000 5.3855" Properties=species:S:1:pos:R:3 pbc="T T T"
Mg 0.0000 2.6819 0.0000
Mg 2.6819 0.0000 0.0000
Ir 0.0000 0.0000 0.0000
Ba 2.6819 2.6819 2.6927
La 0.0000 0.0000 2.6927
```

Output
The calculation puts the formation energy from the elements at -303 meV/atom. The value obtained for the density of states at the Fermi level is 3.0 states/eV/f.u.

***

Record 2
An optimized crystal structure of SrSiC3, computed with PBE-GGA.

The structure in extended XYZ format:
```
5
Lattice="-0.8501 -3.8285 -0.1357 2.4099 -0.4264 -3.0673 2.9779 -0.7478 2.4436" Properties=species:S:1:pos:R:3 pbc="T T T"
Sr 2.2689 -2.5013 -0.3797
Si 0.0000 0.0000 0.0000
C 1.2050 -0.2132 -1.5337
C 1.4889 -0.3739 1.2218
C -0.4250 -1.9142 -0.0678
```

Output
The raw formation energy is 1.316 eV per atom. The calculation puts the polymorph energy (0 for the lowest one) at 0.00 eV per formula unit. The value obtained for the density of states at the Fermi level is 2.5 states/eV/f.u.

***

Record 3
An optimized crystal structure of Er2LuSb, computed with PBE-GGA.

The structure in extended XYZ format:
```
4
Lattice="4.0967 0.0000 0.0000 0.0000 4.0967 0.0000 0.0000 0.0000 6.5709" Properties=species:S:1:pos:R:3 pbc="T T T"
Sb 2.0484 2.0484 0.0000
Lu 2.0484 2.0484 3.2855
Er 0.0000 0.0000 5.0020
Er 0.0000 0.0000 1.5690
```

Output
The raw formation energy is -0.475 eV per atom. The calculation puts the polymorph energy (0 for the lowest one) at 0.00 eV per formula unit. The value obtained for the density of states at the Fermi level is 3.2 states/eV/f.u.

***

Final energy for every record listed, in sequence, given in eV per atom: -4.083; -5.640; -4.917.
V for every record listed, in sequence, given in Å³ per cell: 155; 60; 110.